(i)
This record from Alexandria via LeMat-Bulk describes a relaxed Rb2MnCl crystal. The functional is GGA-PBE.

a b c (Å): 6.143 6.143 6.143
angles (deg): 60.00 60.00 60.00
Fractional coordinates of all 4 atoms:
1 Mn 0.500 0.500 0.500
2 Rb 0.250 0.250 0.250
3 Rb 0.750 0.750 0.750
4 Cl 0.000 0.000 0.000



(ii)
This record from Alexandria via LeMat-Bulk describes a relaxed Rb2MnCl crystal. The functional is GGA-PBE.

a b c (Å): 9.210 9.210 8.046
angles (deg): 55.09 55.09 90.00
Fractional coordinates of all 8 atoms:
1 Mn 0.000 0.000 0.000
2 Mn 0.750 0.250 0.500
3 Rb 0.573 0.125 0.250
4 Rb 0.177 0.625 0.250
5 Rb 0.375 0.427 0.750
6 Rb 0.875 0.823 0.750
7 Cl 0.500 0.500 0.000
8 Cl 0.250 0.750 0.500



Which is most stable, and by how much? (ii), by 94 meV/atom.



(i)
This record from Alexandria via LeMat-Bulk describes a relaxed RbMnSCl2 crystal. The functional is GGA-PBE.

a b c (Å): 5.810 5.810 5.864
angles (deg): 90.00 90.00 90.00
Fractional coordinates of all 5 atoms:
1 S 0.000 0.000 0.500
2 Mn 0.500 0.500 0.500
3 Rb 0.000 0.000 0.000
4 Cl 0.000 0.500 0.000
5 Cl 0.500 0.000 0.000



(ii)
This record from Alexandria via LeMat-Bulk describes a relaxed RbMnSCl2 crystal. The functional is GGA-PBE.

a b c (Å): 5.142 5.142 4.611
angles (deg): 90.00 90.00 90.00
Fractional coordinates of all 5 atoms:
1 S 0.000 0.000 0.500
2 Mn 0.000 0.000 0.000
3 Rb 0.500 0.500 0.500
4 Cl 0.000 0.500 0.000
5 Cl 0.500 0.000 0.000



Which is most stable, and by how much? (ii), by 1495 meV/atom.



(i)
This record from Alexandria via LeMat-Bulk describes a relaxed RbMnS2Cl crystal. The functional is GGA-PBE.

a b c (Å): 5.410 5.410 5.717
angles (deg): 90.00 90.00 90.00
Fractional coordinates of all 5 atoms:
1 S 0.000 0.500 0.000
2 S 0.500 0.000 0.000
3 Mn 0.500 0.500 0.500
4 Rb 0.000 0.000 0.000
5 Cl 0.000 0.000 0.500



(ii)
This record from Alexandria via LeMat-Bulk describes a relaxed RbMnS2Cl crystal. The functional is GGA-PBE.

a b c (Å): 4.445 4.445 5.473
angles (deg): 90.00 90.00 90.00
Fractional coordinates of all 5 atoms:
1 S 0.000 0.500 0.000
2 S 0.500 0.000 0.000
3 Mn 0.000 0.000 0.000
4 Rb 0.500 0.500 0.500
5 Cl 0.000 0.000 0.500



Which is most stable, and by how much? (ii), by 1485 meV/atom.



(i)
This record from Alexandria via LeMat-Bulk describes a relaxed Rb2MnVCl6 crystal. The functional is GGA-PBE.

a b c (Å): 7.366 7.366 6.914
angles (deg): 57.81 57.81 90.00
Fractional coordinates of all 10 atoms:
1 Cl 0.247 0.247 0.506
2 Cl 0.753 0.753 0.494
3 Cl 0.259 0.259 0.000
4 Cl 0.741 0.741 0.000
5 Cl 0.741 0.259 0.000
6 Cl 0.259 0.741 0.000
7 Mn 0.000 0.000 0.000
8 Rb 0.750 0.250 0.500
9 Rb 0.250 0.750 0.500
10 V 0.500 0.500 0.000



(ii)
This record from Alexandria via LeMat-Bulk describes a relaxed Rb2MnVCl6 crystal. The functional is GGA-PBE.

a b c (Å): 7.131 7.124 10.095
angles (deg): 90.00 90.01 90.00
Fractional coordinates of all 20 atoms:
1 Rb 0.000 0.997 0.250
2 Rb 0.500 0.503 0.750
3 Rb 0.000 0.003 0.750
4 Rb 0.500 0.497 0.250
5 Mn 0.500 0.000 0.500
6 Mn 0.000 0.500 0.000
7 V 0.500 0.000 0.000
8 V 0.000 0.500 0.500
9 Cl 0.261 0.741 0.006
10 Cl 0.761 0.759 0.506
11 Cl 0.739 0.259 0.994
12 Cl 0.239 0.241 0.494
13 Cl 0.259 0.739 0.494
14 Cl 0.759 0.761 0.994
15 Cl 0.741 0.261 0.506
16 Cl 0.241 0.239 0.006
17 Cl 0.988 0.500 0.251
18 Cl 0.488 0.000 0.751
19 Cl 0.012 0.500 0.749
20 Cl 0.512 0.000 0.249



Which is most stable, and by how much? (ii), by 118 meV/atom.



(i)
This record from Alexandria via LeMat-Bulk describes a relaxed MnRe2Cl crystal. The functional is GGA-PBE.

a b c (Å): 4.849 4.849 4.422
angles (deg): 91.31 91.31 34.30
Fractional coordinates of all 4 atoms:
1 Cl 0.500 0.500 0.451
2 Mn 0.283 0.283 0.227
3 Re 0.001 0.001 0.033
4 Re 0.716 0.716 0.789



(ii)
This record from Alexandria via LeMat-Bulk describes a relaxed MnRe2Cl crystal. The functional is GGA-PBE.

a b c (Å): 8.807 8.807 8.807
angles (deg): 18.90 18.90 18.90
Fractional coordinates of all 4 atoms:
1 Cl 0.487 0.487 0.487
2 Mn 0.753 0.753 0.753
3 Re 0.003 0.003 0.003
4 Re 0.258 0.258 0.258



Which is most stable, and by how much? (ii), by 510 meV/atom.



(i)
This record from Alexandria via LeMat-Bulk describes a relaxed MnRe2Cl crystal. The functional is GGA-PBE.

a b c (Å): 2.986 3.010 7.516
angles (deg): 89.94 90.00 90.00
Fractional coordinates of all 4 atoms:
1 Cl 0.000 0.499 0.497
2 Mn 0.500 0.501 0.776
3 Re 0.000 0.000 0.016
4 Re 0.500 0.500 0.211



(ii)
This record from Alexandria via LeMat-Bulk describes a relaxed MnRe2Cl crystal. The functional is GGA-PBE.

a b c (Å): 2.816 2.816 9.015
angles (deg): 90.00 90.00 114.93
Fractional coordinates of all 4 atoms:
1 Cl 0.000 0.000 0.547
2 Mn 0.500 0.500 0.748
3 Re 0.000 0.000 0.987
4 Re 0.500 0.500 0.218



Which is most stable, and by how much? (i), by 242 meV/atom.